Record 1
{
  "formula": "Zn6CdAg4",
  "functional": "PBE-GGA",
  "state": "relaxed",
  "cell": [[-3.467, 3.467, 4.653], [3.467, -3.467, 4.653], [3.467, 3.467, -4.653]],
  "species": ["Zn", "Zn", "Zn", "Zn", "Zn", "Zn", "Cd", "Ag", "Ag", "Ag", "Ag"],
  "frac_coords": [[0.000, 0.500, 0.500], [0.135, 0.135, 0.716], [0.419, 0.419, 0.284], [0.500, 0.000, 0.500], [0.581, 0.865, 0.000], [0.865, 0.581, 0.000], [0.000, 0.000, 0.000], [0.246, 0.627, 0.000], [0.373, 0.373, 0.619], [0.627, 0.246, 0.000], [0.754, 0.754, 0.381]],
  "volume_a3_per_atom": 20.34,
  "rho_g_cm3": 6.95,
  "e_form_ev_per_atom": 0.1561,
  "magnetic_moment_mub_per_atom": 0.0000
}

=====

Record 2
{
  "formula": "ZnCdAg2",
  "functional": "PBE-GGA",
  "state": "relaxed",
  "cell": [[5.768, 0.000, 0.000], [0.000, 8.833, 0.000], [-2.185, 0.000, 2.810]],
  "species": ["Zn", "Zn", "Cd", "Cd", "Ag", "Ag", "Ag", "Ag"],
  "frac_coords": [[0.000, 0.000, 0.000], [0.500, 0.500, 0.000], [0.000, 0.500, 0.000], [0.500, 0.000, 0.000], [0.000, 0.234, 0.500], [0.000, 0.766, 0.500], [0.500, 0.266, 0.500], [0.500, 0.734, 0.500]],
  "volume_a3_per_atom": 17.90,
  "rho_g_cm3": 9.13,
  "e_form_ev_per_atom": -0.0170,
  "magnetic_moment_mub_per_atom": 0.0000
}

=====

Record 3
{
  "formula": "ZnCd5Ag3",
  "functional": "PBE-GGA",
  "state": "relaxed",
  "cell": [[6.102, -4.031, 0.000], [6.102, 4.031, 0.000], [-5.606, 0.000, 8.691]],
  "species": ["Zn", "Zn", "Cd", "Cd", "Cd", "Cd", "Cd", "Cd", "Cd", "Cd", "Cd", "Cd", "Ag", "Ag", "Ag", "Ag", "Ag", "Ag"],
  "frac_coords": [[0.034, 0.034, 0.273], [0.966, 0.966, 0.727], [0.148, 0.535, 0.869], [0.258, 0.258, 0.562], [0.326, 0.674, 0.500], [0.465, 0.852, 0.131], [0.468, 0.468, 0.203], [0.532, 0.532, 0.797], [0.535, 0.148, 0.869], [0.674, 0.326, 0.500], [0.742, 0.742, 0.438], [0.852, 0.465, 0.131], [0.000, 0.000, 0.000], [0.000, 0.000, 0.500], [0.208, 0.208, 0.968], [0.263, 0.263, 0.283], [0.737, 0.737, 0.717], [0.792, 0.792, 0.032]],
  "volume_a3_per_atom": 23.76,
  "rho_g_cm3": 7.39,
  "e_form_ev_per_atom": 0.1252,
  "magnetic_moment_mub_per_atom": 0.0000
}